The following is a DFT calculation (PBE) of crystalline Ba2CaReW at its relaxed geometry.

Computed properties:
- Magnetization: 3.90 μB per formula unit
- DFT formation energy: 1974 meV/atom
- Calculated total energy: -4.28 eV per atom

a = 5.8331 Å, b = 5.8331 Å, c = 5.6241 Å
α = 90.00°, β = 90.00°, γ = 90.00°
Element x y z (fractional)
Ba (0.0000, 0.5000, 0.0000)
Ba (0.5000, 0.0000, 0.0000)
Ca (0.0000, 0.0000, 0.5000)
Re (0.5000, 0.5000, 0.5000)
W (0.0000, 0.0000, 0.0000)

The following is a DFT calculation (PBE) of crystalline BaCa2Rh at its relaxed geometry.

Computed properties:
- Magnetization: 0.00 μB per formula unit
- Excess energy over the best structure of this formula in the dataset: 0.36 eV/f.u.
- DFT formation energy: -168 meV/atom
- Calculated total energy: -3.49 eV per atom

a = 6.7417 Å, b = 6.7417 Å, c = 4.2057 Å
α = 90.00°, β = 90.00°, γ = 124.56°
Element x y z (fractional)
Ba (0.0000, 0.0000, 0.0000)
Ca (0.3466, 0.6534, 0.5000)
Ca (0.6534, 0.3466, 0.5000)
Rh (0.5000, 0.5000, 0.0000)

The following is a DFT calculation (PBE) of crystalline BaCa2Rh at its relaxed geometry.

Computed properties:
- Magnetization: 0.02 μB per formula unit
- Excess energy over the best structure of this formula in the dataset: 0.44 eV/f.u.
- DFT formation energy: -149 meV/atom
- Calculated total energy: -3.47 eV per atom

a = 3.6192 Å, b = 3.6192 Å, c = 10.2472 Å
α = 90.00°, β = 90.00°, γ = 90.00°
Element x y z (fractional)
Ba (0.0000, 0.0000, 0.0000)
Ca (0.5000, 0.5000, 0.3420)
Ca (0.5000, 0.5000, 0.6580)
Rh (0.0000, 0.0000, 0.5000)

The following is a DFT calculation (PBE) of crystalline BaCa2Rh at its relaxed geometry.

Computed properties:
- Magnetization: 0.00 μB per formula unit
- Excess energy over the best structure of this formula in the dataset: 1.50 eV/f.u.
- DFT formation energy: 117 meV/atom
- Calculated total energy: -3.20 eV per atom

a = 5.4817 Å, b = 5.4817 Å, c = 5.4817 Å
α = 60.00°, β = 60.00°, γ = 60.00°
Element x y z (fractional)
Ba (0.0000, 0.0000, 0.0000)
Ca (0.2500, 0.2500, 0.2500)
Ca (0.7500, 0.7500, 0.7500)
Rh (0.5000, 0.5000, 0.5000)

The following is a DFT calculation (PBE) of crystalline BaCa2Rh at its relaxed geometry.

Computed properties:
- Magnetization: 0.00 μB per formula unit
- Excess energy over the best structure of this formula in the dataset: 0.46 eV/f.u.
- DFT formation energy: -142 meV/atom
- Calculated total energy: -3.46 eV per atom

a = 3.8161 Å, b = 8.8093 Å, c = 8.8093 Å
α = 29.34°, β = 90.00°, γ = 90.00°
Element x y z (fractional)
Ba (0.0000, 0.0000, 0.0000)
Ca (0.0000, 0.6778, 0.6778)
Ca (0.5000, 0.3128, 0.3128)
Rh (0.5000, 0.1505, 0.1505)

The following is a DFT calculation (PBE) of crystalline BaCa2Rh at its relaxed geometry.

Computed properties:
- Magnetization: 0.00 μB per formula unit
- Excess energy over the best structure of this formula in the dataset: 0.57 eV/f.u.
- DFT formation energy: -116 meV/atom
- Calculated total energy: -3.44 eV per atom

a = 8.4865 Å, b = 8.4865 Å, c = 8.4865 Å
α = 155.45°, β = 145.64°, γ = 42.68°
Element x y z (fractional)
Ba (0.0000, 0.0000, 0.0000)
Ca (0.3334, 0.8334, 0.5000)
Ca (0.6878, 0.6878, 0.0000)
Rh (0.8326, 0.3326, 0.5000)

The following is a DFT calculation (PBE) of crystalline Ba2Ca3Rh2 at its relaxed geometry.

Computed properties:
- Magnetization: 0.00 μB per formula unit
- DFT formation energy: -241 meV/atom
- Calculated total energy: -3.75 eV per atom

a = 6.7561 Å, b = 6.7561 Å, c = 9.2872 Å
α = 113.30°, β = 113.30°, γ = 36.48°
Element x y z (fractional)
Ba (0.1632, 0.1632, 0.2954)
Ba (0.8368, 0.8368, 0.7046)
Ca (0.3667, 0.3667, 0.0770)
Ca (0.5000, 0.5000, 0.5000)
Ca (0.6333, 0.6333, 0.9230)
Rh (0.1632, 0.1632, 0.7262)
Rh (0.8368, 0.8368, 0.2738)

The following is a DFT calculation (PBE) of crystalline BaCa2Rh at its relaxed geometry.

Computed properties:
- Magnetization: 0.00 μB per formula unit
- Excess energy over the best structure of this formula in the dataset: 1.49 eV/f.u.
- DFT formation energy: 114 meV/atom
- Calculated total energy: -3.21 eV per atom

a = 4.7874 Å, b = 4.7874 Å, c = 5.3383 Å
α = 90.00°, β = 90.00°, γ = 90.00°
Element x y z (fractional)
Ba (0.0000, 0.0000, 0.0000)
Ca (0.0000, 0.5000, 0.5000)
Ca (0.5000, 0.0000, 0.5000)
Rh (0.5000, 0.5000, 0.0000)

The following is a DFT calculation (PBE) of crystalline Ba2Ca4Rh at its relaxed geometry.

Computed properties:
- Magnetization: 0.00 μB per formula unit
- DFT formation energy: -91 meV/atom
- Calculated total energy: -2.83 eV per atom

a = 10.7842 Å, b = 10.7842 Å, c = 10.7842 Å
α = 149.68°, β = 149.68°, γ = 43.42°
Element x y z (fractional)
Ba (0.1671, 0.1671, 0.0000)
Ba (0.8329, 0.8329, 0.0000)
Ca (0.0000, 0.5000, 0.5000)
Ca (0.3658, 0.3658, 0.0000)
Ca (0.5000, 0.0000, 0.5000)
Ca (0.6342, 0.6342, 0.0000)
Rh (0.5000, 0.5000, 0.0000)

The following is a DFT calculation (PBE) of crystalline BaCa2Rh at its relaxed geometry.

Computed properties:
- Magnetization: 0.00 μB per formula unit
- Excess energy over the best structure of this formula in the dataset: 0.39 eV/f.u.
- DFT formation energy: -160 meV/atom
- Calculated total energy: -3.48 eV per atom

a = 6.4702 Å, b = 6.4702 Å, c = 6.9283 Å
α = 119.46°, β = 119.46°, γ = 35.95°
Element x y z (fractional)
Ba (0.0000, 0.0000, 0.0000)
Ca (0.1744, 0.1744, 0.6912)
Ca (0.3540, 0.3540, 0.3409)
Rh (0.7122, 0.7122, 0.0063)

The following is a DFT calculation (PBE) of crystalline BaCaRh at its relaxed geometry.

Computed properties:
- Magnetization: 0.00 μB per formula unit
- Excess energy over the best structure of this formula in the dataset: 0.00 eV/f.u.
- DFT formation energy: -221 meV/atom
- Calculated total energy: -3.98 eV per atom

a = 7.8256 Å, b = 7.8256 Å, c = 7.8256 Å
α = 149.17°, β = 125.25°, γ = 64.16°
Element x y z (fractional)
Ba (0.2235, 0.2235, 0.0000)
Ba (0.7765, 0.7765, 0.0000)
Ca (0.2757, 0.5000, 0.7757)
Ca (0.7243, 0.5000, 0.2243)
Rh (0.3962, 0.8962, 0.5000)
Rh (0.6038, 0.1038, 0.5000)

The following is a DFT calculation (PBE) of crystalline BaCaRh at its relaxed geometry.

Computed properties:
- Magnetization: 0.00 μB per formula unit
- Excess energy over the best structure of this formula in the dataset: 0.30 eV/f.u.
- DFT formation energy: -121 meV/atom
- Calculated total energy: -3.88 eV per atom

a = 5.1719 Å, b = 5.1719 Å, c = 5.1719 Å
α = 60.00°, β = 60.00°, γ = 60.00°
Element x y z (fractional)
Ba (0.0000, 0.0000, 0.0000)
Ca (0.5000, 0.5000, 0.5000)
Rh (0.7500, 0.7500, 0.7500)

The following is a DFT calculation (PBE) of crystalline BaCaRh at its relaxed geometry.

Computed properties:
- Magnetization: 0.00 μB per formula unit
- Excess energy over the best structure of this formula in the dataset: 0.26 eV/f.u.
- DFT formation energy: -136 meV/atom
- Calculated total energy: -3.89 eV per atom

a = 4.3633 Å, b = 4.3633 Å, c = 6.6678 Å
α = 90.00°, β = 90.00°, γ = 120.00°
Element x y z (fractional)
Ba (0.0000, 0.0000, 0.0000)
Ca (0.6667, 0.3333, 0.5442)
Rh (0.3333, 0.6667, 0.7405)

The following is a DFT calculation (PBE) of crystalline BaCa2Rh at its relaxed geometry.

Computed properties:
- Magnetization: 0.00 μB per formula unit
- Excess energy over the best structure of this formula in the dataset: 2.18 eV/f.u.
- DFT formation energy: 286 meV/atom
- Calculated total energy: -3.03 eV per atom

a = 6.6001 Å, b = 6.6001 Å, c = 3.7278 Å
α = 103.69°, β = 103.69°, γ = 119.32°
Element x y z (fractional)
Ba (0.0000, 0.0000, 0.0000)
Ca (0.0000, 0.5000, 0.5000)
Ca (0.5000, 0.0000, 0.5000)
Rh (0.5000, 0.5000, 0.0000)

| no. | DOS(E_F) (states/eV/cell) |
| --- | --- |
| 1 | 7.0 |
| 2 | 2.1 |
| 3 | 4.8 |
| 4 | 4.0 |
| 5 | 2.5 |
| 6 | 3.3 |
| 7 | 4.2 |
| 8 | 4.1 |
| 9 | 6.2 |
| 10 | 2.3 |
| 11 | 5.4 |
| 12 | 3.8 |
| 13 | 2.1 |
| 14 | 3.3 |